[1]
An optimized crystal structure of Pr3BiO2. Source: Alexandria, functional PBE.

Structure (CIF):
```
data_Pr3BiO2
_chemical_formula_sum 'Pr3 Bi1 O2'
_cell_length_a 4.797
_cell_length_b 4.797
_cell_length_c 6.963
_cell_angle_alpha 110.15
_cell_angle_beta 110.15
_cell_angle_gamma 90.00
_space_group_name_H-M_alt 'P 1'
_space_group_IT_number 1
loop_
_space_group_symop_operation_xyz
'x,y,z'
loop_
_atom_site_label
_atom_site_type_symbol
_atom_site_fract_x
_atom_site_fract_y
_atom_site_fract_z
_atom_site_occupancy
O1 O 0.298 0.298 0.597 1
O2 O 0.702 0.702 0.403 1
Pr1 Pr 0.500 0.500 0.000 1
Pr2 Pr 0.750 0.250 0.500 1
Bi1 Bi 0.000 0.000 0.000 1
Pr3 Pr 0.250 0.750 0.500 1
```

## Properties
ΔE_f (raw) = -2.10 eV per atom
Total DFT energy (no corrections) = -6.79 eV/atom
Space-group type = I4/mmm

***

[2]
An optimized crystal structure of PrBiO. Source: Alexandria, functional PBE.

Structure (CIF):
```
data_PrBiO
_chemical_formula_sum 'Pr1 Bi1 O1'
_cell_length_a 6.237
_cell_length_b 3.885
_cell_length_c 3.885
_cell_angle_alpha 120.00
_cell_angle_beta 90.00
_cell_angle_gamma 90.00
_space_group_name_H-M_alt 'P 1'
_space_group_IT_number 1
loop_
_space_group_symop_operation_xyz
'x,y,z'
loop_
_atom_site_label
_atom_site_type_symbol
_atom_site_fract_x
_atom_site_fract_y
_atom_site_fract_z
_atom_site_occupancy
O1 O 0.168 0.333 0.667 1
Pr1 Pr 0.165 0.000 0.000 1
Bi1 Bi 0.667 0.667 0.333 1
```

## Properties
Distance to the lowest polymorph of the same formula = 7 meV per atom
ΔE_f (raw) = -1.81 eV per atom
Total DFT energy (no corrections) = -6.35 eV/atom
Space-group type = P3m1

***

[3]
An optimized crystal structure of Pr3Bi5O12. Source: Alexandria, functional PBE.

Structure (CIF):
```
data_Pr3Bi5O12
_chemical_formula_sum 'Pr12 Bi20 O48'
_cell_length_a 12.187
_cell_length_b 12.187
_cell_length_c 12.187
_cell_angle_alpha 109.47
_cell_angle_beta 109.47
_cell_angle_gamma 109.47
_space_group_name_H-M_alt 'P 1'
_space_group_IT_number 1
loop_
_space_group_symop_operation_xyz
'x,y,z'
loop_
_atom_site_label
_atom_site_type_symbol
_atom_site_fract_x
_atom_site_fract_y
_atom_site_fract_z
_atom_site_occupancy
Bi1 Bi 0.750 0.125 0.875 1
O1 O 0.723 0.135 0.050 1
O2 O 0.415 0.365 0.588 1
Bi2 Bi 0.500 0.500 0.000 1
Pr1 Pr 0.625 0.375 0.750 1
O3 O 0.673 0.223 0.588 1
O4 O 0.050 0.415 0.827 1
O5 O 0.173 0.088 0.723 1
O6 O 0.777 0.327 0.912 1
O7 O 0.327 0.550 0.415 1
O8 O 0.950 0.585 0.173 1
O9 O 0.912 0.827 0.777 1
O10 O 0.635 0.050 0.223 1
O11 O 0.827 0.912 0.277 1
O12 O 0.550 0.327 0.915 1
O13 O 0.588 0.723 0.673 1
O14 O 0.415 0.050 0.327 1
Bi3 Bi 0.875 0.250 0.625 1
O15 O 0.327 0.777 0.412 1
Bi4 Bi 0.125 0.375 0.250 1
Bi5 Bi 0.625 0.750 0.875 1
Bi6 Bi 0.000 0.000 0.500 1
O16 O 0.915 0.827 0.550 1
O17 O 0.088 0.173 0.223 1
O18 O 0.827 0.915 0.050 1
Bi7 Bi 0.375 0.125 0.750 1
O19 O 0.588 0.865 0.415 1
Pr2 Pr 0.250 0.625 0.875 1
O20 O 0.412 0.277 0.327 1
O21 O 0.412 0.135 0.585 1
O22 O 0.085 0.173 0.450 1
O23 O 0.135 0.412 0.085 1
O24 O 0.085 0.912 0.135 1
Pr3 Pr 0.625 0.250 0.375 1
O25 O 0.223 0.673 0.088 1
Bi8 Bi 0.250 0.375 0.625 1
O26 O 0.865 0.588 0.915 1
O27 O 0.912 0.085 0.635 1
O28 O 0.135 0.723 0.550 1
O29 O 0.635 0.585 0.912 1
O30 O 0.365 0.415 0.088 1
O31 O 0.585 0.950 0.673 1
O32 O 0.450 0.777 0.865 1
O33 O 0.050 0.635 0.723 1
Pr4 Pr 0.250 0.125 0.375 1
O34 O 0.915 0.088 0.865 1
Bi9 Bi 0.250 0.875 0.125 1
Pr5 Pr 0.125 0.875 0.750 1
Pr6 Pr 0.375 0.625 0.250 1
O35 O 0.950 0.365 0.277 1
Bi10 Bi 0.375 0.250 0.125 1
O36 O 0.223 0.550 0.635 1
Pr7 Pr 0.375 0.750 0.625 1
O37 O 0.450 0.673 0.085 1
Bi11 Bi 0.000 0.500 0.500 1
O38 O 0.550 0.223 0.135 1
Pr8 Pr 0.875 0.750 0.125 1
O39 O 0.777 0.450 0.365 1
Bi12 Bi 0.500 0.000 0.500 1
O40 O 0.173 0.085 0.950 1
O41 O 0.277 0.412 0.827 1
O42 O 0.865 0.277 0.450 1
Pr9 Pr 0.750 0.875 0.625 1
O43 O 0.365 0.950 0.777 1
Bi13 Bi 0.125 0.750 0.375 1
Bi14 Bi 0.000 0.000 0.000 1
Pr10 Pr 0.875 0.125 0.250 1
O44 O 0.723 0.588 0.173 1
Bi15 Bi 0.500 0.500 0.500 1
Bi16 Bi 0.625 0.875 0.250 1
Bi17 Bi 0.500 0.000 0.000 1
Pr11 Pr 0.125 0.250 0.875 1
Bi18 Bi 0.750 0.625 0.375 1
O45 O 0.585 0.635 0.412 1
Pr12 Pr 0.750 0.375 0.125 1
O46 O 0.277 0.865 0.950 1
Bi19 Bi 0.000 0.500 0.000 1
O47 O 0.673 0.450 0.585 1
O48 O 0.088 0.915 0.365 1
Bi20 Bi 0.875 0.625 0.750 1
```

## Properties
ΔE_f (raw) = -1.87 eV per atom
Total DFT energy (no corrections) = -6.53 eV/atom
Space-group type = Ia-3d

***

[4]
An optimized crystal structure of Pr4Bi3O2. Source: Alexandria, functional PBE.

Structure (CIF):
```
data_Pr4Bi3O2
_chemical_formula_sum 'Pr4 Bi3 O2'
_cell_length_a 4.267
_cell_length_b 7.585
_cell_length_c 9.713
_cell_angle_alpha 121.37
_cell_angle_beta 90.00
_cell_angle_gamma 106.33
_space_group_name_H-M_alt 'P 1'
_space_group_IT_number 1
loop_
_space_group_symop_operation_xyz
'x,y,z'
loop_
_atom_site_label
_atom_site_type_symbol
_atom_site_fract_x
_atom_site_fract_y
_atom_site_fract_z
_atom_site_occupancy
Pr1 Pr 0.122 0.245 0.408 1
Bi1 Bi 0.000 0.000 0.000 1
Pr2 Pr 0.310 0.620 0.870 1
Pr3 Pr 0.878 0.755 0.592 1
O1 O 0.308 0.615 0.627 1
Bi2 Bi 0.395 0.789 0.299 1
Bi3 Bi 0.605 0.211 0.701 1
O2 O 0.692 0.385 0.373 1
Pr4 Pr 0.690 0.380 0.130 1
```

## Properties
ΔE_f (raw) = -1.74 eV per atom
Total DFT energy (no corrections) = -6.26 eV/atom
Space-group type = C2/m

***

[5]
An optimized crystal structure of Pr3BiO7. Source: Alexandria, functional PBE.

Structure (CIF):
```
data_Pr3BiO7
_chemical_formula_sum 'Pr6 Bi2 O14'
_cell_length_a 6.833
_cell_length_b 6.833
_cell_length_c 7.987
_cell_angle_alpha 90.00
_cell_angle_beta 90.00
_cell_angle_gamma 109.68
_space_group_name_H-M_alt 'P 1'
_space_group_IT_number 1
loop_
_space_group_symop_operation_xyz
'x,y,z'
loop_
_atom_site_label
_atom_site_type_symbol
_atom_site_fract_x
_atom_site_fract_y
_atom_site_fract_z
_atom_site_occupancy
Pr1 Pr 0.469 0.000 0.750 1
Pr2 Pr 0.531 0.000 0.250 1
O1 O 0.078 0.327 0.528 1
O2 O 0.370 0.630 0.250 1
O3 O 0.365 0.635 0.750 1
O4 O 0.076 0.924 0.750 1
O5 O 0.673 0.922 0.972 1
O6 O 0.327 0.078 0.028 1
O7 O 0.922 0.673 0.028 1
Bi1 Bi 0.000 0.000 0.000 1
O8 O 0.635 0.365 0.250 1
O9 O 0.078 0.327 0.972 1
O10 O 0.924 0.076 0.250 1
O11 O 0.327 0.078 0.472 1
Pr3 Pr 0.500 0.500 0.000 1
Pr4 Pr 0.000 0.531 0.750 1
Pr5 Pr 0.500 0.500 0.500 1
Pr6 Pr 0.000 0.469 0.250 1
O12 O 0.673 0.922 0.528 1
O13 O 0.922 0.673 0.472 1
Bi2 Bi 0.000 0.000 0.500 1
O14 O 0.630 0.370 0.750 1
```

## Properties
ΔE_f (raw) = -2.62 eV per atom
Total DFT energy (no corrections) = -7.43 eV/atom
Space-group type = Cmcm

***

[6]
An optimized crystal structure of Pr3BiO4. Source: Alexandria, functional PBE.

Structure (CIF):
```
data_Pr3BiO4
_chemical_formula_sum 'Pr3 Bi1 O4'
_cell_length_a 4.061
_cell_length_b 4.061
_cell_length_c 10.657
_cell_angle_alpha 90.00
_cell_angle_beta 90.00
_cell_angle_gamma 90.00
_space_group_name_H-M_alt 'P 1'
_space_group_IT_number 1
loop_
_space_group_symop_operation_xyz
'x,y,z'
loop_
_atom_site_label
_atom_site_type_symbol
_atom_site_fract_x
_atom_site_fract_y
_atom_site_fract_z
_atom_site_occupancy
O1 O 0.500 0.000 0.862 1
Pr1 Pr 0.500 0.500 0.764 1
Bi1 Bi 0.000 0.000 0.500 1
Pr2 Pr 0.000 0.000 0.000 1
O2 O 0.500 0.000 0.138 1
O3 O 0.000 0.500 0.862 1
Pr3 Pr 0.500 0.500 0.236 1
O4 O 0.000 0.500 0.138 1
```

## Properties
ΔE_f (raw) = -2.72 eV per atom
Total DFT energy (no corrections) = -7.47 eV/atom
Space-group type = P4/mmm

***

[7]
An optimized crystal structure of Pr2BiO. Source: Alexandria, functional PBE.

Structure (CIF):
```
data_Pr2BiO
_chemical_formula_sum 'Pr8 Bi4 O4'
_cell_length_a 6.612
_cell_length_b 6.592
_cell_length_c 11.003
_cell_angle_alpha 96.87
_cell_angle_beta 90.00
_cell_angle_gamma 90.00
_space_group_name_H-M_alt 'P 1'
_space_group_IT_number 1
loop_
_space_group_symop_operation_xyz
'x,y,z'
loop_
_atom_site_label
_atom_site_type_symbol
_atom_site_fract_x
_atom_site_fract_y
_atom_site_fract_z
_atom_site_occupancy
O1 O 0.125 0.603 0.621 1
O2 O 0.125 0.897 0.879 1
Pr1 Pr 0.220 0.020 0.087 1
Pr2 Pr 0.807 0.049 0.340 1
Pr3 Pr 0.193 0.549 0.840 1
O3 O 0.875 0.103 0.121 1
Bi1 Bi 0.296 0.516 0.126 1
Pr4 Pr 0.780 0.980 0.913 1
Pr5 Pr 0.780 0.520 0.587 1
O4 O 0.875 0.397 0.379 1
Bi2 Bi 0.296 0.984 0.374 1
Bi3 Bi 0.704 0.484 0.874 1
Pr6 Pr 0.807 0.451 0.160 1
Pr7 Pr 0.193 0.951 0.660 1
Pr8 Pr 0.220 0.480 0.413 1
Bi4 Bi 0.704 0.016 0.626 1
```

## Properties
Distance to the lowest polymorph of the same formula = 258 meV per atom
ΔE_f (raw) = -1.62 eV per atom
Total DFT energy (no corrections) = -6.22 eV/atom
Space-group type = P2/c

***

[8]
An optimized crystal structure of Pr5Bi4O. Source: Alexandria, functional PBE.

Structure (CIF):
```
data_Pr5Bi4O
_chemical_formula_sum 'Pr5 Bi4 O1'
_cell_length_a 6.535
_cell_length_b 7.773
_cell_length_c 7.773
_cell_angle_alpha 79.82
_cell_angle_beta 65.14
_cell_angle_gamma 65.14
_space_group_name_H-M_alt 'P 1'
_space_group_IT_number 1
loop_
_space_group_symop_operation_xyz
'x,y,z'
loop_
_atom_site_label
_atom_site_type_symbol
_atom_site_fract_x
_atom_site_fract_y
_atom_site_fract_z
_atom_site_occupancy
Pr1 Pr 0.278 0.823 0.626 1
Pr2 Pr 0.728 0.177 0.374 1
Pr3 Pr 0.905 0.374 0.823 1
Bi1 Bi 0.808 0.784 0.608 1
Bi2 Bi 0.416 0.392 0.784 1
Pr4 Pr 0.412 0.000 0.000 1
Bi3 Bi 0.593 0.608 0.216 1
Bi4 Bi 0.200 0.216 0.392 1
O1 O 0.070 0.000 0.000 1
Pr5 Pr 0.101 0.626 0.177 1
```

## Properties
ΔE_f (raw) = -1.15 eV per atom
Total DFT energy (no corrections) = -5.59 eV/atom
Space-group type = I4

***

Which of these has the highest ΔE_f (raw)? Pr5Bi4O

***

ΔE_f (raw) of number 3 (Pr3Bi5O12)? -1.87 eV per atom

***

Which of these has the highest ΔE_f (raw)? Pr5Bi4O